A plane-wave DFT calculation with PBE was carried out for a relaxed U2MnRe crystal.

Computed properties:
calculated formation energy: 0.432 eV per atom
theoretical density: 17.0 g cm⁻³
calculated volume: 139.8 Å³/cell
total moment: 0.00 μB/f.u.
distance to the lowest polymorph of the same formula: 0.000 eV/atom
total energy: -0.7803 Ry/atom

Structure (CIF):
```
data_U2MnRe
_chemical_formula_sum 'U4 Mn2 Re2'
_symmetry_space_group_name_H-M 'C 1 2/m 1'
_symmetry_Int_Tables_number 12
_symmetry_space_group_name_Hall '-C 2y'
_cell_length_a 9.9195
_cell_length_b 2.9192
_cell_length_c 4.9990
_cell_angle_alpha 90.00
_cell_angle_beta 105.10
_cell_angle_gamma 90.00
loop_
_atom_site_label
_atom_site_type_symbol
_atom_site_fract_x
_atom_site_fract_y
_atom_site_fract_z
_atom_site_occupancy
U1 U 0.2197 0.0000 0.2358 1
Mn1 Mn 0.0000 0.5000 0.0000 1
Re1 Re 0.0000 0.5000 0.5000 1
```


A plane-wave DFT calculation with PBE was carried out for a relaxed VFeSb3 crystal.

Computed properties:
theoretical density: 6.0 g cm⁻³
calculated volume: 131.2 Å³/cell
total moment: 3.08 μB/f.u.
distance to the lowest polymorph of the same formula: 0.093 eV/atom
E_form (uncorrected): 0.804 eV per atom
total energy: -0.3812 Ry/atom

Structure (CIF):
```
data_VFeSb3
_chemical_formula_sum 'V1 Fe1 Sb3'
_symmetry_space_group_name_H-M 'P m -3 m'
_symmetry_Int_Tables_number 221
_symmetry_space_group_name_Hall '-P 4 2 3'
_cell_length_a 5.0817
_cell_length_b 5.0817
_cell_length_c 5.0817
_cell_angle_alpha 90.00
_cell_angle_beta 90.00
_cell_angle_gamma 90.00
loop_
_atom_site_label
_atom_site_type_symbol
_atom_site_fract_x
_atom_site_fract_y
_atom_site_fract_z
_atom_site_occupancy
V1 V 0.0000 0.0000 0.0000 1
Fe1 Fe 0.5000 0.5000 0.5000 1
Sb1 Sb 0.0000 0.0000 0.5000 1
```